CsZr6BI14: optimized geometry, PBE.

Output
As for the space group: No. 64. The value obtained for the density is 5.13 g/cm3. The value obtained for the total magnetic moment is 0.005 μB per formula unit. As for the energy: -206.67 eV/cell.

Cell lengths 11.021, 11.021, 13.184 Å; angles 90.00, 90.00, 85.65 degrees
Element x y z (fractional)
Cs  0.000  0.000  0.000
Cs  0.500  0.500  0.500
Zr  0.043  0.168  0.609
Zr  0.131  0.869  0.597
Zr  0.168  0.043  0.391
Zr  0.332  0.457  0.891
Zr  0.369  0.631  0.097
Zr  0.457  0.332  0.109
Zr  0.543  0.668  0.891
Zr  0.631  0.369  0.903
Zr  0.668  0.543  0.109
Zr  0.832  0.957  0.609
Zr  0.869  0.131  0.403
Zr  0.957  0.832  0.391
B  0.000  0.000  0.500
B  0.500  0.500  0.000
I  0.035  0.212  0.252
I  0.105  0.395  0.750
I  0.110  0.641  0.493
I  0.141  0.610  0.993
I  0.153  0.847  0.242
I  0.212  0.035  0.748
I  0.249  0.249  0.500
I  0.251  0.251  0.000
I  0.288  0.465  0.248
I  0.347  0.653  0.742
I  0.359  0.890  0.493
I  0.390  0.859  0.993
I  0.395  0.105  0.250
I  0.465  0.288  0.752
I  0.535  0.712  0.248
I  0.605  0.895  0.750
I  0.610  0.141  0.007
I  0.641  0.110  0.507
I  0.653  0.347  0.258
I  0.712  0.535  0.752
I  0.749  0.749  0.000
I  0.751  0.751  0.500
I  0.788  0.965  0.252
I  0.847  0.153  0.758
I  0.859  0.390  0.007
I  0.890  0.359  0.507
I  0.895  0.605  0.250
I  0.965  0.788  0.748

---

CsBIr: optimized geometry, PBE.

Output
As for the space group: No. 216. The value obtained for the density is 8.29 g/cm3. The value obtained for the total magnetic moment is 0.543 μB per formula unit. As for the energy: -9.94 eV/cell.

Cell lengths 4.565, 4.565, 4.565 Å; angles 60.00, 60.00, 60.00 degrees
Element x y z (fractional)
Cs  0.000  0.000  0.000
B  0.250  0.250  0.250
Ir  0.500  0.500  0.500

---

CsB4Mo: optimized geometry, PBE.

Output
As for the space group: No. 191. The value obtained for the density is 6.10 g/cm3. The value obtained for the total magnetic moment is 0.011 μB per formula unit. As for the energy: -37.55 eV/cell.

Cell lengths 3.101, 3.101, 8.893 Å; angles 90.00, 90.00, 120.00 degrees
Element x y z (fractional)
Cs  0.000  0.000  0.000
B  0.333  0.667  0.317
B  0.333  0.667  0.683
B  0.667  0.333  0.317
B  0.667  0.333  0.683
Mo  0.000  0.000  0.500

---

CsB4Mo: optimized geometry, PBE.

Output
As for the space group: No. 71. The value obtained for the density is 6.25 g/cm3. The value obtained for the total magnetic moment is 0.491 μB per formula unit. As for the energy: -31.65 eV/cell.

Cell lengths 5.260, 5.260, 5.260 Å; angles 146.27, 114.12, 76.09 degrees
Element x y z (fractional)
Cs  0.000  0.000  0.000
B  0.114  0.769  0.345
B  0.425  0.769  0.655
B  0.575  0.231  0.345
B  0.886  0.231  0.655
Mo  0.500  0.500  0.000

---

CsNa2Sm2BP2O11: optimized geometry, PBE.

Output
As for the space group: No. 63. The value obtained for the density is 4.25 g/cm3. The value obtained for the total magnetic moment is 0.006 μB per formula unit. As for the energy: -272.43 eV/cell.

Cell lengths 8.327, 8.327, 10.691 Å; angles 90.00, 90.00, 129.81 degrees
Element x y z (fractional)
Cs  0.016  0.984  0.750
Cs  0.984  0.016  0.250
Na  0.015  0.502  0.750
Na  0.498  0.985  0.750
Na  0.502  0.015  0.250
Na  0.985  0.498  0.250
Sm  0.379  0.621  0.527
Sm  0.379  0.621  0.973
Sm  0.621  0.379  0.027
Sm  0.621  0.379  0.473
B  0.482  0.518  0.750
B  0.518  0.482  0.250
P  0.180  0.820  0.025
P  0.180  0.820  0.475
P  0.820  0.180  0.525
P  0.820  0.180  0.975
O  0.054  0.299  0.549
O  0.054  0.299  0.951
O  0.221  0.779  0.608
O  0.221  0.779  0.892
O  0.261  0.739  0.116
O  0.261  0.739  0.384
O  0.299  0.054  0.049
O  0.299  0.054  0.451
O  0.389  0.611  0.750
O  0.476  0.524  0.136
O  0.476  0.524  0.364
O  0.524  0.476  0.636
O  0.524  0.476  0.864
O  0.611  0.389  0.250
O  0.701  0.946  0.549
O  0.701  0.946  0.951
O  0.739  0.261  0.616
O  0.739  0.261  0.884
O  0.779  0.221  0.108
O  0.779  0.221  0.392
O  0.946  0.701  0.049
O  0.946  0.701  0.451

---

CsNb3B3: optimized geometry, PBE.

Output
As for the space group: No. 63. The value obtained for the density is 6.31 g/cm3. The value obtained for the total magnetic moment is 0.095 μB per formula unit. As for the energy: -104.56 eV/cell.

Cell lengths 22.368, 22.368, 3.158 Å; angles 90.00, 90.00, 171.49 degrees
Element x y z (fractional)
Cs  0.203  0.797  0.750
Cs  0.797  0.203  0.250
Nb  0.030  0.970  0.250
Nb  0.089  0.911  0.750
Nb  0.370  0.630  0.750
Nb  0.630  0.370  0.250
Nb  0.911  0.089  0.250
Nb  0.970  0.030  0.750
B  0.428  0.572  0.750
B  0.449  0.551  0.250
B  0.490  0.510  0.250
B  0.510  0.490  0.750
B  0.551  0.449  0.750
B  0.572  0.428  0.250

---

CsNdB: optimized geometry, PBE.

Output
As for the space group: No. 216. The value obtained for the density is 5.51 g/cm3. The value obtained for the total magnetic moment is 0.007 μB per formula unit. As for the energy: -6.99 eV/cell.

Cell lengths 4.969, 4.969, 4.969 Å; angles 60.00, 60.00, 60.00 degrees
Element x y z (fractional)
Cs  0.000  0.000  0.000
Nd  0.250  0.250  0.250
B  0.750  0.750  0.750

---

CsNiB4: optimized geometry, PBE.

Output
As for the space group: No. 191. The value obtained for the density is 5.50 g/cm3. The value obtained for the total magnetic moment is 0.002 μB per formula unit. As for the energy: -30.66 eV/cell.

Cell lengths 3.140, 3.140, 8.312 Å; angles 90.00, 90.00, 120.00 degrees
Element x y z (fractional)
Cs  0.000  0.000  0.000
Ni  0.000  0.000  0.500
B  0.333  0.667  0.335
B  0.333  0.667  0.665
B  0.667  0.333  0.335
B  0.667  0.333  0.665

---

CsNiB4: optimized geometry, PBE.

Output
As for the space group: No. 71. The value obtained for the density is 4.98 g/cm3. The value obtained for the total magnetic moment is 0.002 μB per formula unit. As for the energy: -27.03 eV/cell.

Cell lengths 5.801, 5.801, 5.801 Å; angles 151.64, 121.37, 66.39 degrees
Element x y z (fractional)
Cs  0.000  0.000  0.000
Ni  0.500  0.500  0.000
B  0.121  0.767  0.353
B  0.414  0.767  0.647
B  0.586  0.233  0.353
B  0.879  0.233  0.647

---

CsNpB: optimized geometry, PBE.

Output
As for the space group: No. 216. The value obtained for the density is 8.21 g/cm3. The value obtained for the total magnetic moment is 3.577 μB per formula unit. As for the energy: -15.03 eV/cell.

Cell lengths 4.776, 4.776, 4.776 Å; angles 60.00, 60.00, 60.00 degrees
Element x y z (fractional)
Cs  0.000  0.000  0.000
Np  0.500  0.500  0.500
B  0.250  0.250  0.250

---

CsNpB: optimized geometry, PBE.

Output
As for the space group: No. 216. The value obtained for the density is 8.19 g/cm3. The value obtained for the total magnetic moment is 3.582 μB per formula unit. As for the energy: -13.43 eV/cell.

Cell lengths 4.779, 4.779, 4.779 Å; angles 60.00, 60.00, 60.00 degrees
Element x y z (fractional)
Cs  0.000  0.000  0.000
Np  0.250  0.250  0.250
B  0.750  0.750  0.750

---

CsZnBP2O8: optimized geometry, PBE.

Output
As for the space group: No. 2. The value obtained for the density is 3.68 g/cm3. As for the energy: -176.23 eV/cell.

Cell lengths 7.416, 7.812, 7.960 Å; angles 118.22, 102.91, 104.61 degrees
Element x y z (fractional)
Cs  0.238  0.353  0.096
Cs  0.762  0.647  0.904
Zn  0.300  0.704  0.753
Zn  0.700  0.296  0.247
B  0.196  0.924  0.427
B  0.804  0.076  0.573
P  0.061  0.227  0.429
P  0.459  0.895  0.225
P  0.541  0.105  0.775
P  0.939  0.773  0.571
O  0.039  0.749  0.411
O  0.083  0.799  0.761
O  0.092  0.016  0.338
O  0.263  0.421  0.541
O  0.290  0.814  0.292
O  0.338  0.090  0.642
O  0.404  0.710  0.004
O  0.478  0.107  0.257
O  0.522  0.893  0.743
O  0.596  0.290  0.996
O  0.662  0.910  0.358
O  0.710  0.186  0.708
O  0.737  0.579  0.459
O  0.908  0.984  0.662
O  0.917  0.201  0.239
O  0.961  0.251  0.589